Here is a geometry-optimized PrYGaPb structure from Alexandria via LeMat-Bulk. Energies are from PBE.

Output
The final energy comes out at -4.952 eV per atom. The formation energy comes out at -0.457 eV per atom. Its symmetry is F-43m, No. 216.

a b c (Å): 5.3763 5.3763 5.3763
angles (deg): 60.00 60.00 60.00
Atoms (fractional coordinates):
Pb1 0.5000 0.5000 0.5000
Pr1 0.7500 0.7500 0.7500
Y1 0.2500 0.2500 0.2500
Ga1 0.0000 0.0000 0.0000